First-principles (GGA-PBE) data for crystalline PmCl5 at its relaxed geometry, as listed in Alexandria.

Cell: 4.134 5.456 11.402 Å, 90.00 93.81 90.00°
Space group Pm (No. 6)
Unique sites:
Pm: 0.000 0.000 0.000 x1
Cl: 0.001 0.500 0.000 x1
Cl: 0.471 0.000 0.842 x1
Cl: 0.516 0.500 0.588 x1
Cl: 0.529 0.000 0.158 x1
Cl: 0.546 0.500 0.415 x1

Values from the calculation:
Crystal system: monoclinic
Formation energy from raw total energies (meV/atom): -1479